Compound: TlAsRu2
Source: the Alexandria database
Functional: PBE-GGA
Structure: relaxed

Cell lengths 3.217, 4.511, 4.511 Å; angles 90.00, 90.00, 90.00 degrees
Atoms (fractional coordinates):
Ru 0.000 0.000 0.000
Ru 0.000 0.500 0.500
As 0.500 0.000 0.500
Tl 0.500 0.500 0.000

Output
- Final energy: -6.00 eV/atom
- N(E_F): 2.6 states/eV/f.u.
- ΔE to the lowest computed polymorph: 0.199 eV/atom
- Energy relative to the elements: 0.3956 eV/atom
- Size of the total moment: 0.000 Bohr magnetons per cell